Entry 1:
Sm12AlSi6: optimized geometry, PBE-GGA.

As for the crystal system: cubic.

The space group is Im-3 (No. 204) and the conventional cell measures 10.131, 10.131 and 10.131 Å, with angles of 90.00, 90.00 and 90.00 degrees. The distinct sites, in fractional coordinates, are Sm at (0.000, 0.188, 0.295), Al at (0.000, 0.000, 0.000) and Si at (0.000, 0.384, 0.500).



Entry 2:
Sm7Al2Si2: optimized geometry, PBE-GGA.

As for the crystal system: orthorhombic.

The space group is Cmmm (No. 65) and the conventional cell measures 7.425, 11.011 and 7.694 Å, with angles of 90.00, 90.00 and 90.00 degrees. The distinct sites, in fractional coordinates, are Sm at (0.000, 0.000, 0.000), Sm at (0.000, 0.500, 0.266), Sm at (0.250, 0.250, 0.296), Al at (0.000, 0.290, 0.000) and Si at (0.162, 0.000, 0.500).



Entry 3:
SmAlSi: optimized geometry, PBE-GGA.

As for the crystal system: tetragonal.

The space group is I4mm (No. 107) and the conventional cell measures 4.128, 4.128 and 8.260 Å, with angles of 90.00, 90.00 and 90.00 degrees. The distinct sites, in fractional coordinates, are Sm at (0.000, 0.000, 0.000), Al at (0.000, 0.000, 0.646) and Si at (0.000, 0.000, 0.350).



The calculation returns the following uncorrected formation energy values, one per record and in order: -0.512 -0.076 -0.068 eV/atom.
The calculation returns the following M_tot values, one per record and in order: 0.00 0.00 0.00 μB/cell.